PBE-GGA LiHf2S, relaxed; space group = I-42d; E_tot = -6.695 eV/atom
1.0
7.3867 0.0000 0.0000
0.0000 7.3867 0.0000
0.0000 0.0000 5.6694
Li Hf S
4 8 4
direct
0.0000 0.0000 0.0000
0.0000 0.5000 0.2500
0.5000 0.0000 0.7500
0.5000 0.5000 0.5000
0.2029 0.7500 0.6250
0.2500 0.2029 0.3750
0.2500 0.2971 0.8750
0.2971 0.7500 0.1250
0.7029 0.2500 0.1250
0.7500 0.7029 0.8750
0.7500 0.7971 0.3750
0.7971 0.2500 0.6250
0.0000 0.0000 0.5000
0.0000 0.5000 0.7500
0.5000 0.0000 0.2500
0.5000 0.5000 0.0000


PBE-GGA LiSi2Ag, relaxed; space group = Fm-3m; E_tot = -3.669 eV/atom; relative energy among the computed polymorphs = 184.0 meV per atom
1.0
6.3665 0.0000 0.0000
0.0000 6.3665 0.0000
0.0000 0.0000 6.3665
Li Si Ag
4 8 4
direct
0.0000 0.0000 0.0000
0.0000 0.5000 0.5000
0.5000 0.0000 0.5000
0.5000 0.5000 0.0000
0.2500 0.2500 0.2500
0.2500 0.2500 0.7500
0.2500 0.7500 0.2500
0.2500 0.7500 0.7500
0.7500 0.2500 0.2500
0.7500 0.2500 0.7500
0.7500 0.7500 0.2500
0.7500 0.7500 0.7500
0.0000 0.0000 0.5000
0.0000 0.5000 0.0000
0.5000 0.0000 0.0000
0.5000 0.5000 0.5000


PBE-GGA TbPmCoSi, relaxed; space group = F-43m; E_tot = -5.749 eV/atom
1.0
7.0123 0.0000 0.0000
0.0000 7.0123 0.0000
0.0000 0.0000 7.0123
Tb Pm Co Si
4 4 4 4
direct
0.0000 0.0000 0.0000
0.0000 0.5000 0.5000
0.5000 0.0000 0.5000
0.5000 0.5000 0.0000
0.0000 0.0000 0.5000
0.0000 0.5000 0.0000
0.5000 0.0000 0.0000
0.5000 0.5000 0.5000
0.2500 0.2500 0.2500
0.2500 0.7500 0.7500
0.7500 0.2500 0.7500
0.7500 0.7500 0.2500
0.2500 0.2500 0.7500
0.2500 0.7500 0.2500
0.7500 0.2500 0.2500
0.7500 0.7500 0.7500


PBE-GGA FeOs2Rh, relaxed; E_form = 404.9 meV per atom; space group = Cmm2; E_tot = -9.164 eV/atom; relative energy among the computed polymorphs = 326.4 meV per atom
1.0
2.7555 0.0000 0.0000
0.0000 4.5753 0.0000
0.0000 0.0000 9.0024
Fe Os Rh
2 4 2
direct
0.0000 0.0000 0.0000
0.5000 0.5000 0.0000
0.0000 0.0000 0.4987
0.0000 0.5000 0.2421
0.5000 0.0000 0.2421
0.5000 0.5000 0.4987
0.0000 0.5000 0.7604
0.5000 0.0000 0.7604


PBE-GGA Nb2AlN, relaxed; space group = I-42d; E_tot = -8.271 eV/atom
1.0
6.3975 0.0000 0.0000
0.0000 6.3975 0.0000
0.0000 0.0000 6.1128
Nb Al N
8 4 4
direct
0.1646 0.2500 0.1250
0.2500 0.6646 0.3750
0.2500 0.8354 0.8750
0.3354 0.2500 0.6250
0.6646 0.7500 0.6250
0.7500 0.1646 0.8750
0.7500 0.3354 0.3750
0.8354 0.7500 0.1250
0.0000 0.0000 0.5000
0.0000 0.5000 0.7500
0.5000 0.0000 0.2500
0.5000 0.5000 0.0000
0.0000 0.0000 0.0000
0.0000 0.5000 0.2500
0.5000 0.0000 0.7500
0.5000 0.5000 0.5000


PBE-GGA DyPPt4, relaxed; E_form = -809.5 meV per atom; space group = Cmcm; E_tot = -6.505 eV/atom
1.0
1.9719 -7.6694 0.0000
1.9719 7.6694 0.0000
0.0000 0.0000 6.7591
Dy P Pt
2 2 8
direct
0.1021 0.8979 0.7500
0.8979 0.1021 0.2500
0.2401 0.7599 0.2500
0.7599 0.2401 0.7500
0.0825 0.9175 0.2500
0.3174 0.6826 0.5392
0.3174 0.6826 0.9608
0.5000 0.5000 0.0000
0.5000 0.5000 0.5000
0.6826 0.3174 0.0392
0.6826 0.3174 0.4608
0.9175 0.0825 0.7500